# Hf4Sc2Al3N3 (PBE, optimized geometry)
data_Hf4Sc2Al3N3
_chemical_formula_sum 'Hf8 Sc4 Al6 N6'
_space_group_name_H-M_alt 'P 1'
_space_group_IT_number 1
_space_group_name_Hall 'P 1'
_cell_length_a 5.560
_cell_length_b 5.560
_cell_length_c 14.571
_cell_angle_alpha 101.04
_cell_angle_beta 101.04
_cell_angle_gamma 60.01
loop_
_atom_site_label
_atom_site_type_symbol
_atom_site_fract_x
_atom_site_fract_y
_atom_site_fract_z
_atom_site_occupancy
Al1 Al 0.928 0.072 0.750 1
Al2 Al 0.760 0.585 0.251 1
Al3 Al 0.585 0.760 0.751 1
Al4 Al 0.240 0.415 0.749 1
Al5 Al 0.072 0.928 0.250 1
Al6 Al 0.415 0.240 0.249 1
Sc1 Sc 0.634 0.470 0.911 1
Sc2 Sc 0.366 0.530 0.089 1
Sc3 Sc 0.470 0.634 0.411 1
Sc4 Sc 0.530 0.366 0.589 1
Hf1 Hf 0.305 0.140 0.913 1
Hf2 Hf 0.860 0.695 0.587 1
Hf3 Hf 0.695 0.860 0.087 1
Hf4 Hf 0.026 0.198 0.087 1
Hf5 Hf 0.198 0.026 0.587 1
Hf6 Hf 0.974 0.802 0.913 1
Hf7 Hf 0.140 0.305 0.413 1
Hf8 Hf 0.802 0.974 0.413 1
N1 N 0.669 0.163 0.000 1
N2 N 0.500 0.000 0.500 1
N3 N 0.000 0.500 0.000 1
N4 N 0.163 0.669 0.500 1
N5 N 0.331 0.837 0.000 1
N6 N 0.837 0.331 0.500 1
# Spin magnetization (μB/atom): 0.00
# Calculated total energy (eV/atom): -8.514

---

# ErMgNO (PBE, optimized geometry)
data_ErMgNO
_chemical_formula_sum 'Er4 Mg4 N4 O4'
_space_group_name_H-M_alt 'P 1'
_space_group_IT_number 1
_space_group_name_Hall 'P 1'
_cell_length_a 5.927
_cell_length_b 7.604
_cell_length_c 4.877
_cell_angle_alpha 90.00
_cell_angle_beta 90.00
_cell_angle_gamma 90.00
loop_
_atom_site_label
_atom_site_type_symbol
_atom_site_fract_x
_atom_site_fract_y
_atom_site_fract_z
_atom_site_occupancy
N1 N 0.436 0.859 0.054 1
N2 N 0.936 0.141 0.054 1
N3 N 0.564 0.141 0.554 1
N4 N 0.064 0.859 0.554 1
O1 O 0.596 0.599 0.597 1
O2 O 0.404 0.401 0.097 1
O3 O 0.904 0.599 0.097 1
O4 O 0.096 0.401 0.597 1
Mg1 Mg 0.580 0.611 0.012 1
Mg2 Mg 0.080 0.389 0.012 1
Mg3 Mg 0.920 0.611 0.512 1
Mg4 Mg 0.420 0.389 0.512 1
Er1 Er 0.059 0.859 0.039 1
Er2 Er 0.441 0.859 0.539 1
Er3 Er 0.559 0.141 0.039 1
Er4 Er 0.941 0.141 0.539 1
# Spin magnetization (μB/atom): 0.00
# Calculated total energy (eV/atom): -6.984
# E above lowest polymorph (meV/atom): 0

---

# HoPSe3S (PBE, optimized geometry)
data_HoPSe3S
_chemical_formula_sum 'Ho2 P2 Se6 S2'
_space_group_name_H-M_alt 'P 1'
_space_group_IT_number 1
_space_group_name_Hall 'P 1'
_cell_length_a 6.632
_cell_length_b 6.893
_cell_length_c 7.858
_cell_angle_alpha 87.76
_cell_angle_beta 87.19
_cell_angle_gamma 83.28
loop_
_atom_site_label
_atom_site_type_symbol
_atom_site_fract_x
_atom_site_fract_y
_atom_site_fract_z
_atom_site_occupancy
Ho1 Ho 0.203 0.709 0.058 1
Ho2 Ho 0.797 0.291 0.942 1
S1 S 0.574 0.237 0.670 1
S2 S 0.426 0.763 0.330 1
Se1 Se 0.123 0.014 0.781 1
Se2 Se 0.383 0.279 0.091 1
Se3 Se 0.617 0.721 0.909 1
Se4 Se 0.877 0.986 0.219 1
Se5 Se 0.910 0.483 0.246 1
Se6 Se 0.090 0.517 0.754 1
P1 P 0.315 0.257 0.816 1
P2 P 0.685 0.743 0.184 1
# Spin magnetization (μB/atom): 0.00
# Calculated total energy (eV/atom): -4.977
# E above lowest polymorph (meV/atom): 5

---

# CsYCoS3 (PBE, optimized geometry)
data_CsYCoS3
_chemical_formula_sum 'Cs4 Y4 Co4 S12'
_space_group_name_H-M_alt 'P 1'
_space_group_IT_number 1
_space_group_name_Hall 'P 1'
_cell_length_a 15.858
_cell_length_b 3.910
_cell_length_c 10.631
_cell_angle_alpha 90.00
_cell_angle_beta 90.00
_cell_angle_gamma 90.00
loop_
_atom_site_label
_atom_site_type_symbol
_atom_site_fract_x
_atom_site_fract_y
_atom_site_fract_z
_atom_site_occupancy
S1 S 0.910 0.250 0.575 1
S2 S 0.590 0.750 0.075 1
S3 S 0.410 0.250 0.925 1
S4 S 0.561 0.250 0.394 1
S5 S 0.385 0.750 0.265 1
S6 S 0.939 0.750 0.894 1
S7 S 0.615 0.250 0.735 1
S8 S 0.439 0.750 0.606 1
S9 S 0.090 0.750 0.425 1
S10 S 0.115 0.250 0.765 1
S11 S 0.061 0.250 0.106 1
S12 S 0.885 0.750 0.235 1
Y1 Y 0.519 0.750 0.845 1
Y2 Y 0.481 0.250 0.155 1
Y3 Y 0.981 0.250 0.345 1
Y4 Y 0.019 0.750 0.655 1
Co1 Co 0.989 0.750 0.085 1
Co2 Co 0.489 0.750 0.415 1
Co3 Co 0.011 0.250 0.915 1
Co4 Co 0.511 0.250 0.585 1
Cs1 Cs 0.235 0.750 0.983 1
Cs2 Cs 0.265 0.250 0.483 1
Cs3 Cs 0.735 0.750 0.517 1
Cs4 Cs 0.765 0.250 0.017 1
# Spin magnetization (μB/atom): 0.33
# Calculated total energy (eV/atom): -5.773

---

# Ba2HfCuS6 (PBE, optimized geometry)
data_Ba2HfCuS6
_chemical_formula_sum 'Ba2 Hf1 Cu1 S6'
_space_group_name_H-M_alt 'P 1'
_space_group_IT_number 1
_space_group_name_Hall 'P 1'
_cell_length_a 6.891
_cell_length_b 6.891
_cell_length_c 6.891
_cell_angle_alpha 90.00
_cell_angle_beta 120.00
_cell_angle_gamma 120.00
loop_
_atom_site_label
_atom_site_type_symbol
_atom_site_fract_x
_atom_site_fract_y
_atom_site_fract_z
_atom_site_occupancy
Ba1 Ba 0.000 0.250 0.250 1
Ba2 Ba 0.000 0.750 0.750 1
S1 S 0.500 0.255 0.755 1
S2 S 0.500 0.745 0.245 1
S3 S 0.011 0.255 0.755 1
S4 S 0.500 0.745 0.755 1
S5 S 0.989 0.745 0.245 1
S6 S 0.500 0.255 0.245 1
Cu1 Cu 0.500 0.500 0.000 1
Hf1 Hf 0.500 0.000 0.500 1
# Spin magnetization (μB/atom): 0.00
# Calculated total energy (eV/atom): -5.415

---

# SmGdAl2Br2 (PBE, optimized geometry)
data_SmGdAl2Br2
_chemical_formula_sum 'Sm1 Gd1 Al2 Br2'
_space_group_name_H-M_alt 'P 1'
_space_group_IT_number 1
_space_group_name_Hall 'P 1'
_cell_length_a 4.251
_cell_length_b 4.251
_cell_length_c 11.364
_cell_angle_alpha 90.00
_cell_angle_beta 90.00
_cell_angle_gamma 120.00
loop_
_atom_site_label
_atom_site_type_symbol
_atom_site_fract_x
_atom_site_fract_y
_atom_site_fract_z
_atom_site_occupancy
Gd1 Gd 0.000 0.000 0.314 1
Al1 Al 0.333 0.667 0.517 1
Al2 Al 0.667 0.333 0.480 1
Sm1 Sm 0.000 0.000 0.686 1
Br1 Br 0.667 0.333 0.841 1
Br2 Br 0.333 0.667 0.162 1
# Spin magnetization (μB/atom): 0.00
# Calculated total energy (eV/atom): -4.457